(1)
! Co2TePb, relaxed, DFT PBE; values from VASP
! total magnetic moment: 0.778 μB per atom
! polymorph energy (0 for the lowest one): 769 meV per atom
! space-group type: F-43m (216)
! E_tot: -4.372 eV per atom
&SYSTEM
  ibrav = 0, nat = 4, ntyp = 3
/
ATOMIC_SPECIES
Te 127.60 Te.upf
Co 58.93 Co.upf
Pb 207.20 Pb.upf
CELL_PARAMETERS angstrom
4.841 0.000 0.000
2.420 4.192 0.000
2.420 1.397 3.952
ATOMIC_POSITIONS angstrom
Te 7.261 4.192 2.964
Co 0.000 0.000 0.000
Pb 4.841 2.795 1.976
Co 2.420 1.397 0.988



(2)
! Er3Tl2Cd4, relaxed, DFT PBE; values from VASP
! total magnetic moment: 0.000 μB per atom
! formation energy from the elements: -267 meV/atom
! space-group type: C2/m (12)
! E_tot: -2.720 eV per atom
&SYSTEM
  ibrav = 0, nat = 9, ntyp = 3
/
ATOMIC_SPECIES
Er 167.26 Er.upf
Cd 112.41 Cd.upf
Tl 204.38 Tl.upf
CELL_PARAMETERS angstrom
4.959 0.000 0.000
-2.479 5.093 -2.149
0.000 -1.017 9.284
ATOMIC_POSITIONS angstrom
Er 0.000 3.065 1.626
Cd 2.479 2.149 -0.543
Er 2.479 1.011 5.509
Cd 0.000 1.927 7.678
Cd 0.000 0.303 3.488
Cd 2.479 3.773 3.647
Er 0.000 0.000 0.000
Tl 2.479 0.815 2.053
Tl 0.000 3.261 5.082